Density functional theory data (meta-GGA SCAN) for a PBEsol-optimized structure of AgAu.

Results
The calculation puts the spin magnetization at 0.0000 μB/atom. The value obtained for the energy of formation is -0.056 eV/atom. The value obtained for the density of states at the Fermi level is 0.3158 states/eV per atom.

a b c (Å): 2.8794 2.8794 4.6680
angles (deg): 90.00 90.00 120.00
Space group P-6m2 (No. 187)
Unique sites:
1 Ag 0.0000 0.0000 0.0000 [1 per cell]
2 Au 0.3333 0.6667 0.5000 [1 per cell]

---

Density functional theory data (meta-GGA SCAN) for a PBEsol-optimized structure of TeHRuI2.

Results
The calculation puts the spin magnetization at 0.5421 μB/atom. Its final energy is -28.716 eV per atom. The value obtained for the density of states at the Fermi level is 0.6513 states/eV per atom.

a b c (Å): 5.405 5.405 3.726
angles (deg): 90.00 90.00 90.00
Space group P4/mmm (No. 123)
Unique sites:
1 Te 0.000 0.000 0.000 [1 per cell]
2 H 0.000 0.000 0.500 [1 per cell]
3 Ru 0.500 0.500 0.000 [1 per cell]
4 I 0.000 0.500 0.500 [2 per cell]

---

Density functional theory data (meta-GGA SCAN) for a PBEsol-optimized structure of MgSc2Fe.

Results
The calculation puts the spin magnetization at 0.1716 μB/atom. The value obtained for the energy of formation is 0.104 eV/atom. The value obtained for the density of states at the Fermi level is 0.6974 states/eV per atom.

a b c (Å): 3.1805 3.1805 26.8121
angles (deg): 90.00 90.00 120.00
Space group R-3m (No. 166, hexagonal axes)
Unique sites:
1 Mg 0.0000 0.0000 0.0000 [3 per cell]
2 Sc 0.0000 0.0000 0.2321 [6 per cell]
3 Fe 0.0000 0.0000 0.5000 [3 per cell]

---

Density functional theory data (meta-GGA SCAN) for a PBEsol-optimized structure of AlInBi2.

Results
The calculation puts the spin magnetization at 0.0000 μB/atom. The value obtained for the energy of formation is 0.007 eV/atom. The value obtained for the density of states at the Fermi level is 0.0402 states/eV per atom.

a b c (Å): 6.538 6.538 13.060
angles (deg): 90.00 90.00 90.00
Space group I-42d (No. 122)
Unique sites:
1 Al 0.000 0.000 0.000 [4 per cell]
2 In 0.000 0.000 0.500 [4 per cell]
3 Bi 0.231 0.250 0.125 [8 per cell]

---

Density functional theory data (meta-GGA SCAN) for a PBEsol-optimized structure of NiAsP2.

Results
The calculation puts the spin magnetization at 0.0000 μB/atom. The value obtained for the energy of formation is 0.527 eV/atom. The value obtained for the density of states at the Fermi level is 0.5242 states/eV per atom.

a b c (Å): 5.105 6.706 3.287
angles (deg): 90.00 90.00 90.00
Space group Cmmm (No. 65)
Unique sites:
1 Ni 0.000 0.000 0.000 [2 per cell]
2 As 0.000 0.500 0.000 [2 per cell]
3 P 0.250 0.250 0.500 [4 per cell]

---

Density functional theory data (meta-GGA SCAN) for a PBEsol-optimized structure of KRbH3.

Results
The calculation puts the spin magnetization at 0.2000 μB/atom. Its final energy is -7.454 eV per atom. The value obtained for the density of states at the Fermi level is 0.8426 states/eV per atom.

a b c (Å): 5.028 5.028 5.028
angles (deg): 90.00 90.00 90.00
Space group Pm-3m (No. 221)
Unique sites:
1 K 0.000 0.000 0.000 [1 per cell]
2 Rb 0.500 0.500 0.500 [1 per cell]
3 H 0.000 0.500 0.500 [3 per cell]

---

Density functional theory data (meta-GGA SCAN) for a PBEsol-optimized structure of PPbN2O.

Results
The value obtained for the formation energy (no corrections) is 179.9 meV/atom. The calculation puts the spin magnetization at 0.0000 μB/atom. The value obtained for the density of states at the Fermi level is 0.3245 states/eV per atom.

a b c (Å): 3.546 3.546 4.030
angles (deg): 90.00 90.00 90.00
Space group P4/mmm (No. 123)
Unique sites:
1 P 0.000 0.000 0.000 [1 per cell]
2 Pb 0.500 0.500 0.500 [1 per cell]
3 N 0.000 0.500 0.000 [2 per cell]
4 O 0.000 0.000 0.500 [1 per cell]

---

Density functional theory data (meta-GGA SCAN) for a PBEsol-optimized structure of SiNi2Os.

Results
The value obtained for the formation energy (no corrections) is -191.0 meV/atom. The calculation puts the spin magnetization at 0.2043 μB/atom. The value obtained for the density of states at the Fermi level is 0.7794 states/eV per atom.

a b c (Å): 3.524 3.524 3.729
angles (deg): 90.00 90.00 90.00
Space group P4/mmm (No. 123)
Unique sites:
1 Si 0.000 0.000 0.000 [1 per cell]
2 Ni 0.000 0.500 0.500 [2 per cell]
3 Os 0.500 0.500 0.000 [1 per cell]

---

The highest spin magnetization belongs to which entry? TeHRuI2

---

Which formula does entry 7 have? PPbN2O

---

Copy entry 3 word for word.
Density functional theory data (meta-GGA SCAN) for a PBEsol-optimized structure of MgSc2Fe.

Results
The calculation puts the spin magnetization at 0.1716 μB/atom. The value obtained for the energy of formation is 0.104 eV/atom. The value obtained for the density of states at the Fermi level is 0.6974 states/eV per atom.

a b c (Å): 3.1805 3.1805 26.8121
angles (deg): 90.00 90.00 120.00
Space group R-3m (No. 166, hexagonal axes)
Unique sites:
1 Mg 0.0000 0.0000 0.0000 [3 per cell]
2 Sc 0.0000 0.0000 0.2321 [6 per cell]
3 Fe 0.0000 0.0000 0.5000 [3 per cell]

---

Repeat the sixth record exactly.
Density functional theory data (meta-GGA SCAN) for a PBEsol-optimized structure of KRbH3.

Results
The calculation puts the spin magnetization at 0.2000 μB/atom. Its final energy is -7.454 eV per atom. The value obtained for the density of states at the Fermi level is 0.8426 states/eV per atom.

a b c (Å): 5.028 5.028 5.028
angles (deg): 90.00 90.00 90.00
Space group Pm-3m (No. 221)
Unique sites:
1 K 0.000 0.000 0.000 [1 per cell]
2 Rb 0.500 0.500 0.500 [1 per cell]
3 H 0.000 0.500 0.500 [3 per cell]